## Dy6Y8Er (PBE-GGA)

Data for an optimized crystal structure of Dy6Y8Er.

a b c (Å): 9.0386 9.0386 20.6702
angles (deg): 90.00 90.00 120.00
Space group R-3 (No. 148, hexagonal axes)
One atom of each set of equivalent atoms:
Dy  0.0675  0.2489  0.2076 (multiplicity 18)
Y  0.0000  0.0000  0.0769 (multiplicity 6)
Y  0.0820  0.5527  0.3083 (multiplicity 18)
Er  0.0000  0.0000  0.5000 (multiplicity 3)

Output
**Polymorph energy (0 for the lowest one)**: 0.000 eV per atom
**ρ**: 6.3 g cm⁻³
**DOS(E_F)**: 1.61 states/eV/atom

## BeNb2Co (PBE-GGA)

Data for an optimized crystal structure of BeNb2Co.

a b c (Å): 3.669 3.187 9.586
angles (deg): 90.00 90.00 90.00
Space group Amm2 (No. 38)
One atom of each set of equivalent atoms:
Be  0.000  0.000  0.000 (multiplicity 2)
Nb  0.000  0.000  0.727 (multiplicity 2)
Nb  0.500  0.000  0.429 (multiplicity 2)
Co  0.500  0.000  0.142 (multiplicity 2)

Output
**ρ**: 7.5 g cm⁻³
**Calculated total energy**: -7.852 eV/atom
**DOS(E_F)**: 0.91 states/eV/atom